Compound: Li7Mn2Co3O12
Source: the Alexandria database
Functional: PBE with a Hubbard U
Structure: optimized geometry

abc: 5.9033 6.4914 6.5577
angles: 71.87 64.13 77.03
Last column: nearest neighbours and their distance in Å.
Sites, in units of the cell vectors:
Li 0.0000 0.0000 0.0000  6 O 2.07-2.14
Li 0.0737 0.3260 0.1689  6 O 2.07-2.31
Li 0.2457 0.9958 0.5039  6 O 2.08-2.18
Li 0.4018 0.6744 0.8389  6 O 2.09-2.32
Li 0.5982 0.3256 0.1611  6 O 2.09-2.32
Li 0.7543 0.0042 0.4961  6 O 2.08-2.18
Li 0.9263 0.6740 0.8311  6 O 2.07-2.31
Mn 0.1650 0.6694 0.3280  6 O 1.89-2.00
Mn 0.8350 0.3306 0.6720  6 O 1.89-2.00
Co 0.3281 0.3249 0.6756  6 O 1.90-2.11
Co 0.5000 0.0000 0.0000  6 O 1.97-2.05
Co 0.6719 0.6751 0.3244  6 O 1.90-2.11
O 0.0407 0.6623 0.1059  1 Mn 1.91, 1 Co 2.02, 3 Li 2.07-2.09
O 0.1380 0.9769 0.2485  1 Mn 1.89, 1 Co 2.05, 2 Li 2.07-2.08
O 0.1831 0.3443 0.4341  2 Mn 1.97-2.00, 1 Co 2.07, 2 Li 2.14
O 0.2931 0.6512 0.5684  1 Mn 1.99, 2 Co 2.01-2.11, 3 Li 2.11-2.19
O 0.3847 0.0162 0.7540  2 Co 1.90-1.97, 2 Li 2.10
O 0.4866 0.3340 0.8955  1 Mn 1.94, 2 Co 2.05, 2 Li 2.10
O 0.5134 0.6660 0.1045  1 Mn 1.94, 2 Co 2.05, 2 Li 2.10
O 0.6153 0.9838 0.2460  2 Co 1.90-1.97, 2 Li 2.10
O 0.7069 0.3488 0.4316  1 Mn 1.99, 2 Co 2.01-2.11, 3 Li 2.11-2.19
O 0.8169 0.6557 0.5659  2 Mn 1.97-2.00, 1 Co 2.07, 2 Li 2.14
O 0.8620 0.0231 0.7515  1 Mn 1.89, 1 Co 2.05, 2 Li 2.07-2.08
O 0.9593 0.3377 0.8941  1 Mn 1.91, 1 Co 2.02, 3 Li 2.07-2.09

Summary:
As for the space group: No. 2. The total magnetization is 6.0 μB/f.u. The calculation puts the electronic total energy at -5.876 eV per atom.